Material: K2SrTc
Method: DFT, PBE
State: optimized geometry

Computed properties:
**Total magnetization**: 2.67 μB/f.u.
**SG**: P2/m (10)
**E above lowest polymorph**: 223.3 meV per atom
**Energy of formation**: 1.09 eV per atom

a = 3.9031 Å, b = 6.7048 Å, c = 5.8857 Å
α = 90.00°, β = 94.49°, γ = 90.00°
Closest atoms and distances in Å follow each position.
Fractional positions:
1 K 0.2249 0.0000 0.2727  3 K 3.30-3.54
2 K 0.7751 0.0000 0.7273  3 K 3.30-3.54
3 Sr 0.5000 0.5000 0.0000  4 Tc 3.40-3.66
4 Tc 0.0000 0.5000 0.5000  4 Sr 3.40-3.66, 4 K 3.74